[1]
Entry from the Alexandria database: a PBEsol-optimized structure of As2S2O9 (SCAN).

a = 6.6157 Å, b = 6.5670 Å, c = 17.0082 Å
α = 90.00°, β = 95.72°, γ = 90.00°
With the nearest neighbours (Å) after each atom.
Sites, in units of the cell vectors:
As (0.0085, 0.0030, 0.5005)  3 O 1.78-1.95
As (0.0085, 0.9970, 0.0005)  3 O 1.78-1.95
As (0.8857, 0.8528, 0.6706)  3 O 1.79-1.94
As (0.8857, 0.1472, 0.1706)  3 O 1.79-1.94
As (0.5157, 0.3525, 0.7574)  3 O 1.79-1.94
As (0.5157, 0.6475, 0.2574)  3 O 1.79-1.94
As (0.3928, 0.5025, 0.9275)  3 O 1.78-1.95
As (0.3928, 0.4975, 0.4275)  3 O 1.78-1.95
S (0.5483, 0.9689, 0.5303)  4 O 1.44-1.55
S (0.5483, 0.0311, 0.0303)  4 O 1.44-1.55
S (0.9820, 0.3217, 0.6409)  4 O 1.44-1.53
S (0.9820, 0.6783, 0.1409)  4 O 1.44-1.53
S (0.8531, 0.4687, 0.8976)  4 O 1.44-1.55
S (0.8531, 0.5313, 0.3976)  4 O 1.44-1.55
S (0.4194, 0.8214, 0.7871)  4 O 1.44-1.53
S (0.4194, 0.1786, 0.2871)  4 O 1.44-1.53
O (0.0386, 0.8597, 0.5896)  2 As 1.78-1.79
O (0.0386, 0.1403, 0.0896)  2 As 1.78-1.79
O (0.3628, 0.3592, 0.8383)  2 As 1.78-1.79
O (0.3628, 0.6408, 0.3383)  2 As 1.78-1.79
O (0.7245, 0.9757, 0.4771)  1 S 1.55
O (0.7245, 0.0243, 0.9771)  1 S 1.55
O (0.6285, 0.8580, 0.6060)  1 S 1.53
O (0.6285, 0.1420, 0.1060)  1 S 1.53
O (0.3921, 0.8390, 0.4898)  1 S 1.46
O (0.3921, 0.1610, 0.9898)  1 S 1.46
O (0.4809, 0.1714, 0.5470)  1 S 1.44
O (0.4809, 0.8286, 0.0470)  1 S 1.44
O (0.9812, 0.2625, 0.5536)  1 S 1.53
O (0.9812, 0.7375, 0.0536)  1 S 1.53
O (0.8806, 0.1472, 0.6821)  1 S 1.53
O (0.8806, 0.8528, 0.1821)  1 S 1.53
O (0.8467, 0.4953, 0.6445)  1 S 1.45
O (0.8467, 0.5047, 0.1445)  1 S 1.45
O (0.1883, 0.3522, 0.6749)  1 S 1.44
O (0.1883, 0.6478, 0.1749)  1 S 1.44
O (0.7728, 0.3578, 0.8219)  1 S 1.53
O (0.7728, 0.6422, 0.3219)  1 S 1.53
O (0.6769, 0.4753, 0.9508)  1 S 1.55
O (0.6769, 0.5247, 0.4508)  1 S 1.55
O (0.0093, 0.3389, 0.9382)  1 S 1.46
O (0.0093, 0.6611, 0.4382)  1 S 1.46
O (0.9203, 0.6713, 0.8809)  1 S 1.44
O (0.9203, 0.3287, 0.3809)  1 S 1.44
O (0.5206, 0.6469, 0.7458)  1 S 1.53
O (0.5206, 0.3531, 0.2458)  1 S 1.53
O (0.4200, 0.7620, 0.8743)  1 S 1.53
O (0.4200, 0.2380, 0.3743)  1 S 1.53
O (0.5549, 0.9949, 0.7835)  1 S 1.45
O (0.5549, 0.0051, 0.2835)  1 S 1.45
O (0.2132, 0.8521, 0.7530)  1 S 1.44
O (0.2132, 0.1479, 0.2530)  1 S 1.44

Summary:
**V**: 14.14 A^3/atom
**Uncorrected formation energy**: -1.3482 eV per atom
**Space-group type**: No. 14
**Energy**: -10.250 eV/atom

[2]
Entry from the Alexandria database: a PBEsol-optimized structure of CrNi3 (SCAN).

a = 2.4357 Å, b = 4.2944 Å, c = 4.2944 Å
α = 110.53°, β = 90.00°, γ = 90.00°
With the nearest neighbours (Å) after each atom.
Sites, in units of the cell vectors:
Ni (0.5000, 0.0000, 0.5000)  8 Ni 2.44-2.47, 4 Cr 2.47
Ni (0.5000, 0.5000, 0.0000)  8 Ni 2.44-2.47, 4 Cr 2.47
Ni (0.0000, 0.5000, 0.5000)  10 Ni 2.44-2.47, 2 Cr 2.45
Cr (0.0000, 0.0000, 0.0000)  2 Cr 2.44, 10 Ni 2.45-2.47

Summary:
**V**: 10.52 A^3/atom
**Space-group type**: No. 65
**Energy**: -16.655 eV/atom

[3]
Entry from the Alexandria database: a PBEsol-optimized structure of NbPb3Br (SCAN).

a = 5.5043 Å, b = 5.5043 Å, c = 5.5043 Å
α = 90.00°, β = 90.00°, γ = 90.00°
With the nearest neighbours (Å) after each atom.
Sites, in units of the cell vectors:
Pb (0.0000, 0.5000, 0.0000)  2 Br 2.75
Pb (0.0000, 0.0000, 0.5000)  2 Br 2.75
Pb (0.5000, 0.0000, 0.0000)  2 Br 2.75
Nb (0.5000, 0.5000, 0.5000)  12 Pb 3.89
Br (0.0000, 0.0000, 0.0000)  6 Pb 2.75

Summary:
**V**: 33.35 A^3/atom
**Uncorrected formation energy**: 1.0966 eV per atom
**Space-group type**: No. 221
**Energy**: -54.890 eV/atom

[4]
Entry from the Alexandria database: a PBEsol-optimized structure of ZnCdRe2 (SCAN).

a = 3.7348 Å, b = 3.7348 Å, c = 5.1623 Å
α = 111.21°, β = 111.21°, γ = 90.00°
With the nearest neighbours (Å) after each atom.
Sites, in units of the cell vectors:
Cd (0.0000, 0.0000, 0.0000)  4 Zn 2.64, 8 Re 2.90
Re (0.7500, 0.2500, 0.5000)  4 Re 2.64, 4 Cd 2.90, 4 Zn 2.90
Re (0.2500, 0.7500, 0.5000)  4 Re 2.64, 4 Cd 2.90, 4 Zn 2.90
Zn (0.5000, 0.5000, 0.0000)  4 Cd 2.64, 8 Re 2.90

Summary:
**V**: 15.47 A^3/atom
**Energy above the lowest structure with this stoichiometry**: 173 meV per atom
**Space-group type**: No. 139
**Energy**: -45.904 eV/atom

[5]
Entry from the Alexandria database: a PBEsol-optimized structure of AlTlP (SCAN).

a = 4.5549 Å, b = 4.5549 Å, c = 4.5549 Å
α = 60.00°, β = 60.00°, γ = 60.00°
With the nearest neighbours (Å) after each atom.
Sites, in units of the cell vectors:
P (0.0000, 0.0000, 0.0000)  4 Al 2.79
Tl (0.5000, 0.5000, 0.5000)  4 Al 2.79
Al (0.2500, 0.2500, 0.2500)  4 Tl 2.79, 4 P 2.79

Summary:
**V**: 22.27 A^3/atom
**Space-group type**: No. 216
**Energy**: -29.866 eV/atom

[6]
Entry from the Alexandria database: a PBEsol-optimized structure of MgBi2O5 (SCAN).

a = 5.3857 Å, b = 8.2748 Å, c = 11.2090 Å
α = 90.00°, β = 90.00°, γ = 104.89°
With the nearest neighbours (Å) after each atom.
Sites, in units of the cell vectors:
Mg (0.5707, 0.1488, 0.9109)  5 O 2.01-2.09
Mg (0.4293, 0.8512, 0.0891)  5 O 2.01-2.09
Mg (0.9293, 0.3512, 0.4109)  5 O 2.01-2.09
Mg (0.0707, 0.6488, 0.5891)  5 O 2.01-2.09
Bi (0.7410, 0.9688, 0.5898)  6 O 2.06-2.20
Bi (0.2590, 0.0312, 0.4102)  6 O 2.06-2.20
Bi (0.7590, 0.5312, 0.0898)  6 O 2.06-2.20
Bi (0.2410, 0.4688, 0.9102)  6 O 2.06-2.20
Bi (0.0768, 0.1267, 0.1300)  5 O 2.14-2.39
Bi (0.9232, 0.8733, 0.8700)  5 O 2.14-2.39
Bi (0.5768, 0.6267, 0.3700)  5 O 2.14-2.39
Bi (0.4232, 0.3733, 0.6300)  5 O 2.14-2.39
O (0.3720, 0.3727, 0.0755)  3 Bi 2.16-2.32
O (0.8674, 0.3367, 0.9848)  1 Mg 2.09, 2 Bi 2.19
O (0.6604, 0.7298, 0.1708)  1 Mg 2.01, 1 Bi 2.06
O (0.7631, 0.5112, 0.5016)  2 Mg 2.01-2.05, 1 Bi 2.14
O (0.8017, 0.4621, 0.2673)  1 Mg 2.06, 1 Bi 2.10
O (0.3017, 0.9621, 0.2327)  1 Mg 2.06, 1 Bi 2.10
O (0.3674, 0.8367, 0.5152)  1 Mg 2.09, 2 Bi 2.19
O (0.6326, 0.1633, 0.4848)  1 Mg 2.09, 2 Bi 2.19
O (0.2369, 0.4888, 0.4984)  2 Mg 2.01-2.05, 1 Bi 2.14
O (0.1280, 0.1273, 0.5755)  3 Bi 2.16-2.32
O (0.1983, 0.5379, 0.7327)  1 Mg 2.06, 1 Bi 2.10
O (0.6280, 0.6273, 0.9245)  3 Bi 2.16-2.32
O (0.8720, 0.8727, 0.4245)  3 Bi 2.16-2.32
O (0.6983, 0.0379, 0.7673)  1 Mg 2.06, 1 Bi 2.10
O (0.7369, 0.9888, 0.0016)  2 Mg 2.01-2.05, 1 Bi 2.14
O (0.2631, 0.0112, 0.9984)  2 Mg 2.01-2.05, 1 Bi 2.14
O (0.3396, 0.2702, 0.8292)  1 Mg 2.01, 1 Bi 2.06
O (0.1326, 0.6633, 0.0152)  1 Mg 2.09, 2 Bi 2.19
O (0.8396, 0.7702, 0.6708)  1 Mg 2.01, 1 Bi 2.06
O (0.1604, 0.2298, 0.3292)  1 Mg 2.01, 1 Bi 2.06

Summary:
**V**: 15.09 A^3/atom
**Uncorrected formation energy**: -1.3687 eV per atom
**Energy above the lowest structure with this stoichiometry**: 0 meV per atom
**Space-group type**: No. 14
**Energy**: -25.530 eV/atom